Here is crystalline SrTl4Pb at its relaxed geometry from the Alexandria database. Energies are from PBE-GGA.

Summary:
**ΔH_f (0 K)**: -20 meV/atom
**Polymorph energy (0 for the lowest one)**: 157 meV per atom
**SG**: Pmmm (47)
**DOS(E_F)**: 2.3 states/eV/f.u.
**Electronic total energy**: -2.50 eV/atom

Cell lengths 4.645, 4.664, 9.941 Å; angles 90.01, 89.99, 90.00 degrees
Atoms (fractional coordinates):
1 Sr 0.501 0.498 0.998
2 Tl 0.501 0.997 0.264
3 Tl 0.501 0.997 0.732
4 Tl 0.001 0.497 0.731
5 Tl 0.001 0.497 0.266
6 Pb 0.001 0.997 0.498